[1]
The following is a DFT calculation (PBE) of crystalline K3Y3TmTe8 at its relaxed geometry.

abc: 8.760 8.764 9.918
angles: 116.22 90.00 120.00
Atoms (fractional coordinates):
1 Te 0.235 0.972 0.707
2 Te 0.765 0.530 0.293
3 Te 0.263 0.028 0.293
4 Te 0.235 0.470 0.707
5 Te 0.737 0.972 0.707
6 Te 0.765 0.028 0.293
7 Te 0.737 0.473 0.710
8 Te 0.263 0.527 0.290
9 K 0.500 0.500 0.000
10 K 0.000 0.000 0.000
11 K 0.000 0.500 0.000
12 Y 0.000 0.500 0.500
13 Y 0.500 0.000 0.500
14 Y 0.500 0.500 0.500
15 Tm 0.000 0.000 0.500

Results
- spin magnetization (μB per formula unit) = 0.00
- energy relative to the elements, uncorrected (eV per atom) = -1.33

=====

[2]
The following is a DFT calculation (PBE) of crystalline K3YTm3Te8 at its relaxed geometry.

abc: 8.703 8.708 9.878
angles: 116.15 90.00 120.00
Atoms (fractional coordinates):
1 Te 0.761 0.031 0.293
2 Te 0.239 0.969 0.707
3 Te 0.270 0.031 0.293
4 Te 0.265 0.529 0.294
5 Te 0.730 0.969 0.707
6 Te 0.239 0.477 0.707
7 Te 0.735 0.471 0.706
8 Te 0.761 0.523 0.293
9 Tm 0.500 0.500 0.500
10 Tm 0.500 0.000 0.500
11 Tm 0.000 0.500 0.500
12 K 0.000 0.500 0.000
13 K 0.500 0.500 0.000
14 K 0.000 0.000 0.000
15 Y 0.000 0.000 0.500

Results
- spin magnetization (μB per formula unit) = 0.00
- energy relative to the elements, uncorrected (eV per atom) = -1.31

=====

[3]
The following is a DFT calculation (PBE) of crystalline K4YTm3Te8 at its relaxed geometry.

abc: 8.927 9.719 8.928
angles: 117.38 120.00 90.00
Atoms (fractional coordinates):
1 Te 0.763 0.293 0.030
2 Te 0.733 0.707 0.970
3 Te 0.267 0.293 0.030
4 Te 0.265 0.294 0.529
5 Te 0.237 0.707 0.970
6 Te 0.735 0.706 0.471
7 Te 0.763 0.293 0.526
8 Te 0.237 0.707 0.474
9 K 0.500 0.000 0.000
10 K 0.000 0.000 0.500
11 K 0.000 0.000 0.000
12 K 0.500 0.000 0.500
13 Tm 0.500 0.500 0.500
14 Tm 0.500 0.500 0.000
15 Tm 0.000 0.500 0.500
16 Y 0.000 0.500 0.000

Results
- spin magnetization (μB per formula unit) = 0.00
- energy relative to the elements, uncorrected (eV per atom) = -1.38